#a
The following is a DFT calculation (PBE) of crystalline CaTbGaHg at its relaxed geometry.

CIF file:
```
data_CaTbGaHg
_cell_length_a 7.3927
_cell_length_b 7.3927
_cell_length_c 7.3927
_cell_angle_alpha 90.00
_cell_angle_beta 90.00
_cell_angle_gamma 90.00
_symmetry_space_group_name_H-M 'F -4 3 m'
_symmetry_Int_Tables_number 216
_symmetry_space_group_name_Hall 'F -4 2 3'
loop_
_atom_site_label
_atom_site_type_symbol
_atom_site_fract_x
_atom_site_fract_y
_atom_site_fract_z
Ca1 Ca 0.0000 0.0000 0.0000
Tb1 Tb 0.0000 0.0000 0.5000
Ga1 Ga 0.2500 0.2500 0.7500
Hg1 Hg 0.2500 0.2500 0.2500
```

#b
The following is a DFT calculation (PBE) of crystalline CaTbGaHg at its relaxed geometry.

CIF file:
```
data_CaTbGaHg
_cell_length_a 3.6210
_cell_length_b 3.6210
_cell_length_c 7.6797
_cell_angle_alpha 90.00
_cell_angle_beta 90.00
_cell_angle_gamma 90.00
_symmetry_space_group_name_H-M 'P 4 m m'
_symmetry_Int_Tables_number 99
_symmetry_space_group_name_Hall 'P 4 -2'
loop_
_atom_site_label
_atom_site_type_symbol
_atom_site_fract_x
_atom_site_fract_y
_atom_site_fract_z
Ca1 Ca 0.0000 0.0000 0.0000
Tb1 Tb 0.0000 0.0000 0.4789
Ga1 Ga 0.5000 0.5000 0.2495
Hg1 Hg 0.5000 0.5000 0.7367
```

Relative energy table, unit kJ/mol of atoms: #a 0.6; #b 0.0

#a
The following is a DFT calculation (PBE) of crystalline CaHoGa4 at its relaxed geometry.

CIF file:
```
data_CaHoGa4
_cell_length_a 4.3190
_cell_length_b 7.5814
_cell_length_c 7.8083
_cell_angle_alpha 90.00
_cell_angle_beta 90.00
_cell_angle_gamma 90.00
_symmetry_space_group_name_H-M 'I m m m'
_symmetry_Int_Tables_number 71
_symmetry_space_group_name_Hall '-I 2 2'
loop_
_atom_site_label
_atom_site_type_symbol
_atom_site_fract_x
_atom_site_fract_y
_atom_site_fract_z
Ca1 Ca 0.0000 0.0000 0.0000
Ho1 Ho 0.0000 0.0000 0.5000
Ga1 Ga 0.0000 0.3320 0.2286
```

#b
The following is a DFT calculation (PBE) of crystalline CaHoGa4 at its relaxed geometry.

CIF file:
```
data_CaHoGa4
_cell_length_a 7.8430
_cell_length_b 7.8430
_cell_length_c 7.8430
_cell_angle_alpha 90.00
_cell_angle_beta 90.00
_cell_angle_gamma 90.00
_symmetry_space_group_name_H-M 'F -4 3 m'
_symmetry_Int_Tables_number 216
_symmetry_space_group_name_Hall 'F -4 2 3'
loop_
_atom_site_label
_atom_site_type_symbol
_atom_site_fract_x
_atom_site_fract_y
_atom_site_fract_z
Ca1 Ca 0.0000 0.0000 0.0000
Ho1 Ho 0.2500 0.2500 0.7500
Ga1 Ga 0.1247 0.1247 0.3753
```

Relative energy table, unit kJ/mol of atoms: #a 0.0; #b 7.5

#a
The following is a DFT calculation (PBE) of crystalline CaHoGaPd at its relaxed geometry.

CIF file:
```
data_CaHoGaPd
_cell_length_a 7.1084
_cell_length_b 7.1084
_cell_length_c 7.1084
_cell_angle_alpha 90.00
_cell_angle_beta 90.00
_cell_angle_gamma 90.00
_symmetry_space_group_name_H-M 'F -4 3 m'
_symmetry_Int_Tables_number 216
_symmetry_space_group_name_Hall 'F -4 2 3'
loop_
_atom_site_label
_atom_site_type_symbol
_atom_site_fract_x
_atom_site_fract_y
_atom_site_fract_z
Ca1 Ca 0.0000 0.0000 0.0000
Ho1 Ho 0.0000 0.0000 0.5000
Ga1 Ga 0.2500 0.2500 0.7500
Pd1 Pd 0.2500 0.2500 0.2500
```

#b
The following is a DFT calculation (PBE) of crystalline CaHoGaPd at its relaxed geometry.

CIF file:
```
data_CaHoGaPd
_cell_length_a 4.4207
_cell_length_b 3.8802
_cell_length_c 11.0583
_cell_angle_alpha 90.00
_cell_angle_beta 90.00
_cell_angle_gamma 90.00
_symmetry_space_group_name_H-M 'A m m 2'
_symmetry_Int_Tables_number 38
_symmetry_space_group_name_Hall 'A 2 -2'
loop_
_atom_site_label
_atom_site_type_symbol
_atom_site_fract_x
_atom_site_fract_y
_atom_site_fract_z
Ca1 Ca 0.0000 0.0000 0.0000
Ho1 Ho 0.5000 0.0000 0.2879
Ga1 Ga 0.5000 0.0000 0.5766
Pd1 Pd 0.0000 0.0000 0.7207
```

Relative energy table, unit kJ/mol of atoms: #a 2.3; #b 0.0